No. 1
KHg3Au PBEsol optimized geometry; total energy = -7.32 eV per cell; energy relative to the elements = -0.113 eV/atom; V = 30.4 Å³/atom
1.0
5.336 0.000 0.000
0.000 5.336 0.000
0.000 0.000 5.336
K Hg Au
1 3 1
direct
0.000 0.000 0.000 K
0.000 0.500 0.500 Hg
0.500 0.000 0.500 Hg
0.500 0.500 0.000 Hg
0.500 0.500 0.500 Au

=====

No. 2
K2HgAu PBEsol optimized geometry; total energy = -6.95 eV per cell; energy relative to the elements = -0.048 eV/atom; V = 33.6 Å³/atom
1.0
4.340 -1.760 0.000
4.340 1.760 0.000
-1.147 0.000 8.802
K Hg Au
2 1 1
direct
0.243 0.243 0.226 K
0.757 0.757 0.774 K
0.000 0.000 0.500 Hg
0.500 0.500 0.000 Au

=====

No. 3
KHgAu4 PBEsol optimized geometry; total energy = -18.29 eV per cell; energy relative to the elements = -0.149 eV/atom; V = 20.2 Å³/atom
1.0
0.000 3.931 3.931
3.931 0.000 3.931
3.931 3.931 0.000
K Hg Au
1 1 4
direct
0.000 0.000 0.000 K
0.750 0.750 0.750 Hg
0.375 0.375 0.375 Au
0.375 0.375 0.874 Au
0.375 0.874 0.375 Au
0.874 0.375 0.375 Au

=====

No. 4
K2HgAu PBEsol optimized geometry; total energy = -7.40 eV per cell; energy relative to the elements = -0.161 eV/atom; V = 31.0 Å³/atom
1.0
3.933 0.000 0.000
0.000 3.933 0.000
0.000 0.000 8.018
K Hg Au
2 1 1
direct
0.000 0.000 0.228 K
0.000 0.000 0.772 K
0.500 0.500 0.500 Hg
0.500 0.500 0.000 Au

=====

> The lowest total energy belongs to which entry?

KHgAu4